CrSiHgF2 | Alexandria via LeMat-Bulk | PBE with a Hubbard U | relaxed; raw total energy = -22.87 eV for the cell shown; total magnetic moment = 0.585 μB/atom
1.0
-2.756 -2.727 -0.594
4.054 -3.936 -0.735
-0.059 -0.778 3.844
Cr F Si Hg
1 2 1 1
Direct
0.000 0.000 0.000 Cr
0.000 0.000 0.500 F
0.500 0.000 0.000 F
0.000 0.500 0.000 Si
0.500 0.500 0.500 Hg